# 1
# TmThScOs

An optimized crystal structure of TmThScOs (GGA-PBE, Alexandria via LeMat-Bulk).

abc: 5.0619 5.0619 5.0619
angles: 60.00 60.00 60.00
Positions (direct):
Sc 0.0000 0.0000 0.0000
Tm 0.7500 0.7500 0.7500
Os 0.5000 0.5000 0.5000
Th 0.2500 0.2500 0.2500

Summary:
Formation enthalpy at 0 K, eV/atom: -0.05
Magnetic moment, μB/cell: 0.00
Crystal system: cubic
Total DFT energy (no corrections), Ry per atom: -0.545


# 2
# ScTiOs2

An optimized crystal structure of ScTiOs2 (GGA-PBE, Alexandria via LeMat-Bulk).

abc: 3.1505 4.4531 4.4531
angles: 90.00 90.00 90.00
Positions (direct):
Sc 0.5000 0.5000 0.5000
Os 0.0000 0.0000 0.5000
Os 0.0000 0.5000 0.0000
Ti 0.5000 0.0000 0.0000

Summary:
Formation enthalpy at 0 K, eV/atom: -0.50
Magnetic moment, μB/cell: 0.00
Crystal system: tetragonal
Total DFT energy (no corrections), Ry per atom: -0.711


# 3
# ScTi2Os2

An optimized crystal structure of ScTi2Os2 (GGA-PBE, Alexandria via LeMat-Bulk).

abc: 7.5690 7.5690 2.9047
angles: 90.00 90.00 90.00
Positions (direct):
Sc 0.0000 0.0000 0.0000
Sc 0.5000 0.5000 0.0000
Os 0.1599 0.6599 0.5000
Os 0.6599 0.8401 0.5000
Os 0.8401 0.3401 0.5000
Os 0.3401 0.1599 0.5000
Ti 0.3614 0.8614 0.0000
Ti 0.8614 0.6386 0.0000
Ti 0.6386 0.1386 0.0000
Ti 0.1386 0.3614 0.0000

Summary:
Formation enthalpy at 0 K, eV/atom: -0.26
Magnetic moment, μB/cell: 0.00
Energy above the lowest structure with this stoichiometry, meV per atom: 52.4
Crystal system: tetragonal
Total DFT energy (no corrections), Ry per atom: -0.675


# 4
# ScTiOs4

An optimized crystal structure of ScTiOs4 (GGA-PBE, Alexandria via LeMat-Bulk).

abc: 5.1790 5.1790 5.1790
angles: 60.00 60.00 60.00
Positions (direct):
Sc 0.2500 0.2500 0.2500
Os 0.6251 0.6251 0.1248
Os 0.6251 0.1248 0.6251
Os 0.6251 0.6251 0.6251
Os 0.1248 0.6251 0.6251
Ti 0.0000 0.0000 0.0000

Summary:
Formation enthalpy at 0 K, eV/atom: -0.20
Magnetic moment, μB/cell: 0.00
Crystal system: cubic
Total DFT energy (no corrections), Ry per atom: -0.740


# 5
# Sc2TiOs

An optimized crystal structure of Sc2TiOs (GGA-PBE, Alexandria via LeMat-Bulk).

abc: 7.7241 7.7241 6.1183
angles: 50.86 50.86 90.00
Positions (direct):
Sc 0.6773 0.1250 0.2500
Sc 0.0727 0.6250 0.2500
Sc 0.3750 0.3227 0.7500
Sc 0.8750 0.9273 0.7500
Os 0.0000 0.0000 0.0000
Os 0.7500 0.2500 0.5000
Ti 0.5000 0.5000 0.0000
Ti 0.2500 0.7500 0.5000

Summary:
Formation enthalpy at 0 K, eV/atom: 0.26
Magnetic moment, μB/cell: 2.11
Energy above the lowest structure with this stoichiometry, meV per atom: 352.3
Crystal system: tetragonal
Total DFT energy (no corrections), Ry per atom: -0.565


# 6
# ScTiOs3

An optimized crystal structure of ScTiOs3 (GGA-PBE, Alexandria via LeMat-Bulk).

abc: 4.5496 4.5496 4.5496
angles: 90.00 90.00 90.00
Positions (direct):
Sc 0.5000 0.5000 0.5000
Os 0.0000 0.5000 0.0000
Os 0.0000 0.0000 0.5000
Os 0.5000 0.0000 0.0000
Ti 0.0000 0.0000 0.0000

Summary:
Formation enthalpy at 0 K, eV/atom: 1.03
Magnetic moment, μB/cell: 0.00
Energy above the lowest structure with this stoichiometry, meV per atom: 0.0
Crystal system: cubic
Total DFT energy (no corrections), Ry per atom: -0.629


# 7
# Sc3TiOs

An optimized crystal structure of Sc3TiOs (GGA-PBE, Alexandria via LeMat-Bulk).

abc: 4.6720 4.6720 4.6720
angles: 90.00 90.00 90.00
Positions (direct):
Sc 0.0000 0.5000 0.0000
Sc 0.0000 0.0000 0.5000
Sc 0.5000 0.0000 0.0000
Os 0.5000 0.5000 0.5000
Ti 0.0000 0.0000 0.0000

Summary:
Formation enthalpy at 0 K, eV/atom: 1.13
Magnetic moment, μB/cell: 0.00
Energy above the lowest structure with this stoichiometry, meV per atom: 794.3
Crystal system: cubic
Total DFT energy (no corrections), Ry per atom: -0.478


# 8
# Sc2TiOs

An optimized crystal structure of Sc2TiOs (GGA-PBE, Alexandria via LeMat-Bulk).

abc: 10.0511 10.0511 10.0511
angles: 17.23 17.23 17.23
Positions (direct):
Sc 0.9031 0.9031 0.9031
Sc 0.0969 0.0969 0.0969
Os 0.5000 0.5000 0.5000
Ti 0.0000 0.0000 0.0000

Summary:
Formation enthalpy at 0 K, eV/atom: 0.20
Magnetic moment, μB/cell: 0.00
Energy above the lowest structure with this stoichiometry, meV per atom: 296.0
Crystal system: trigonal
Total DFT energy (no corrections), Ry per atom: -0.569